# PBE Pu2HgBi, relaxed
data_Pu2HgBi
_chemical_formula_sum 'Pu6 Hg3 Bi3'
_symmetry_space_group_name_H-M 'R 3 m'
_symmetry_Int_Tables_number 160
_symmetry_space_group_name_Hall 'R 3 -2"'
_cell_length_a 5.0884
_cell_length_b 5.0884
_cell_length_c 16.1487
_cell_angle_alpha 90.00
_cell_angle_beta 90.00
_cell_angle_gamma 120.00
loop_
_atom_site_label
_atom_site_fract_x
_atom_site_fract_y
_atom_site_fract_z
Pu1 0.0000 0.0000 0.0000
Pu2 0.0000 0.0000 0.1661
Hg1 0.0000 0.0000 0.5736
Bi1 0.0000 0.0000 0.7653
# Final energy   -8.13 eV/atom
# Formation energy from the elements   31 kJ/mol of formula units